# TeAsRu2 PBE optimized geometry
data_TeAsRu2
_symmetry_space_group_name_H-M 'P 1'
_symmetry_Int_Tables_number 1
_symmetry_space_group_name_Hall 'P 1'
_cell_length_a 3.1231
_cell_length_b 3.1231
_cell_length_c 6.7730
_cell_angle_alpha 90.00
_cell_angle_beta 90.00
_cell_angle_gamma 90.00
loop_
_atom_site_label
_atom_site_type_symbol
_atom_site_fract_x
_atom_site_fract_y
_atom_site_fract_z
Te1 Te 0.0000 0.0000 0.0000
As1 As 0.0000 0.0000 0.5000
Ru1 Ru 0.5000 0.5000 0.2886
Ru2 Ru 0.5000 0.5000 0.7114
# VASP energy   -6.416 eV per atom
# Formation energy (no corrections)   170 meV/atom
# Magnetic moment   0.00 μB/f.u.
# Relative energy among the computed polymorphs   0.248 eV/atom
# DOS(E_F)   3.50 states/eV per cell